1.
Density functional theory data (PBE) for Cd5Au after structural relaxation. Values from VASP.

Cell and atoms, written as Quantum ESPRESSO input:
```
&SYSTEM
  ibrav = 0, nat = 6, ntyp = 2
/
ATOMIC_SPECIES
Au 196.97 Au.upf
Cd 112.41 Cd.upf
CELL_PARAMETERS angstrom
-3.775 2.650 -6.600
1.585 -4.930 6.166
-3.230 2.556 2.874
ATOMIC_POSITIONS angstrom
Au -3.769 2.641 -6.586
Cd -1.227 -1.960 4.753
Cd -0.226 -2.369 1.853
Cd -2.998 0.545 0.534
Cd -1.969 0.096 -2.298
Cd -4.800 3.094 -3.759
```

Values from the calculation:
**M_tot**: 0.00 μB per formula unit
**ΔE to the lowest computed polymorph**: 35 meV per atom
**Formation energy**: -0.03 eV per atom

2.
Density functional theory data (PBE) for CuSn2Mo2 after structural relaxation. Values from VASP.

Cell and atoms, written as Quantum ESPRESSO input:
```
&SYSTEM
  ibrav = 0, nat = 10, ntyp = 3
/
ATOMIC_SPECIES
Mo 95.94 Mo.upf
Sn 118.71 Sn.upf
Cu 63.55 Cu.upf
CELL_PARAMETERS angstrom
6.683 0.000 0.000
0.000 6.683 0.000
0.000 0.000 4.200
ATOMIC_POSITIONS angstrom
Mo 2.454 5.795 0.000
Mo 5.795 4.229 0.000
Mo 4.229 0.888 0.000
Mo 0.888 2.454 0.000
Sn 1.144 4.485 2.100
Sn 4.485 5.539 2.100
Sn 5.539 2.198 2.100
Sn 2.198 1.144 2.100
Cu 0.000 0.000 0.000
Cu 3.341 3.341 0.000
```

Values from the calculation:
**M_tot**: 0.00 μB per formula unit
**Formation energy**: 0.34 eV per atom

3.
Density functional theory data (PBE) for Li2PmPd5 after structural relaxation. Values from VASP.

Cell and atoms, written as Quantum ESPRESSO input:
```
&SYSTEM
  ibrav = 0, nat = 8, ntyp = 3
/
ATOMIC_SPECIES
Li 6.94 Li.upf
Pm 145.00 Pm.upf
Pd 106.42 Pd.upf
CELL_PARAMETERS angstrom
-3.309 1.125 -4.400
5.438 -0.805 -1.164
-1.877 -4.817 2.203
ATOMIC_POSITIONS angstrom
Li 2.373 -2.722 -1.025
Li -2.001 -1.757 -2.643
Pm -0.221 -4.567 -2.128
Pd -0.346 -2.321 -0.444
Pd 3.308 -0.313 -2.129
Pd -2.940 -4.165 -1.544
Pd 0.719 -2.158 -3.226
Pd 0.590 0.089 -1.547
```

Values from the calculation:
**M_tot**: 0.00 μB per formula unit
**ΔE to the lowest computed polymorph**: 0 meV per atom
**Formation energy**: -0.48 eV per atom

4.
Density functional theory data (PBE) for TlH2Se after structural relaxation. Values from VASP.

Cell and atoms, written as Quantum ESPRESSO input:
```
&SYSTEM
  ibrav = 0, nat = 4, ntyp = 3
/
ATOMIC_SPECIES
Tl 204.38 Tl.upf
H 1.01 H.upf
Se 78.96 Se.upf
CELL_PARAMETERS angstrom
4.507 0.000 0.000
-2.254 3.907 -0.355
0.000 0.072 5.396
ATOMIC_POSITIONS angstrom
Tl 2.254 0.326 2.634
H 2.254 3.377 4.596
H 2.254 2.751 4.168
Se 0.000 1.540 1.383
```

Values from the calculation:
**M_tot**: 0.82 μB per formula unit
**ΔE to the lowest computed polymorph**: 130 meV per atom

5.
Density functional theory data (PBE) for Zr3Sb7Pd after structural relaxation. Values from VASP.

Cell and atoms, written as Quantum ESPRESSO input:
```
&SYSTEM
  ibrav = 0, nat = 44, ntyp = 3
/
ATOMIC_SPECIES
Zr 91.22 Zr.upf
Sb 121.76 Sb.upf
Pd 106.42 Pd.upf
CELL_PARAMETERS angstrom
3.988 0.000 0.000
0.000 14.671 0.000
0.000 0.000 17.839
ATOMIC_POSITIONS angstrom
Zr 0.997 4.559 15.112
Zr 0.997 2.777 6.193
Zr 2.991 10.112 2.726
Zr 2.991 11.894 11.646
Zr 0.997 0.452 15.509
Zr 0.997 6.883 6.590
Zr 2.991 14.219 2.330
Zr 2.991 7.788 11.249
Zr 0.997 8.632 15.917
Zr 0.997 13.375 6.998
Zr 2.991 6.039 1.922
Zr 2.991 1.296 10.841
Sb 0.997 2.859 9.258
Sb 0.997 4.476 0.338
Sb 2.991 11.812 8.581
Sb 2.991 10.195 17.500
Sb 0.997 6.298 9.566
Sb 0.997 1.038 0.646
Sb 2.991 8.373 8.273
Sb 2.991 13.634 17.193
Sb 0.997 13.787 10.200
Sb 0.997 8.220 1.281
Sb 2.991 0.884 7.638
Sb 2.991 6.452 16.558
Sb 0.997 9.921 10.577
Sb 0.997 12.086 1.658
Sb 2.991 4.750 7.262
Sb 2.991 2.585 16.181
Sb 0.997 2.165 12.976
Sb 0.997 5.171 4.056
Sb 2.991 12.506 4.863
Sb 2.991 9.501 13.783
Sb 0.997 7.053 13.349
Sb 0.997 0.283 4.429
Sb 2.991 7.618 4.490
Sb 2.991 14.388 13.409
Sb 0.997 12.020 13.987
Sb 0.997 9.987 5.067
Sb 2.991 2.651 3.852
Sb 2.991 4.684 12.772
Pd 0.997 11.877 16.671
Pd 0.997 10.129 7.751
Pd 2.991 2.794 1.168
Pd 2.991 4.542 10.088
```

Values from the calculation:
**Formation energy from raw total energies**: -0.5496 eV/atom
**M_tot**: 0.00 μB per formula unit

6.
Density functional theory data (PBE) for RbCu2SbC after structural relaxation. Values from VASP.

Cell and atoms, written as Quantum ESPRESSO input:
```
&SYSTEM
  ibrav = 0, nat = 5, ntyp = 4
/
ATOMIC_SPECIES
Sb 121.76 Sb.upf
C 12.01 C.upf
Cu 63.55 Cu.upf
Rb 85.47 Rb.upf
CELL_PARAMETERS angstrom
4.251 0.000 0.000
0.000 5.415 0.000
0.000 0.000 4.251
ATOMIC_POSITIONS angstrom
Sb 2.126 2.707 2.126
C 0.000 0.000 0.000
Cu 0.000 0.000 2.126
Cu 2.126 0.000 0.000
Rb 0.000 2.707 0.000
```

Values from the calculation:
**Formation energy from raw total energies**: 1.1678 eV/atom
**M_tot**: 0.00 μB per formula unit

7.
Density functional theory data (PBE) for Cs2Ho2PaTe6 after structural relaxation. Values from VASP.

Cell and atoms, written as Quantum ESPRESSO input:
```
&SYSTEM
  ibrav = 0, nat = 11, ntyp = 4
/
ATOMIC_SPECIES
Cs 132.91 Cs.upf
Ho 164.93 Ho.upf
Pa 231.04 Pa.upf
Te 127.60 Te.upf
CELL_PARAMETERS angstrom
7.713 -0.028 0.068
-3.837 6.691 0.068
-1.378 -2.369 9.145
ATOMIC_POSITIONS angstrom
Cs 5.791 1.090 0.068
Cs -1.915 5.573 0.068
Ho -0.685 3.272 4.640
Ho 3.183 1.022 4.640
Pa -0.689 -1.184 4.573
Te 1.873 3.220 6.387
Te -1.971 1.019 6.329
Te 0.625 1.075 2.894
Te 1.860 -1.210 6.329
Te 4.469 3.275 2.951
Te 0.638 5.504 2.951
```

Values from the calculation:
**Formation energy from raw total energies**: -1.2478 eV/atom
**M_tot**: 1.05 μB per formula unit

8.
Density functional theory data (PBE) for IrSeNF2 after structural relaxation. Values from VASP.

Cell and atoms, written as Quantum ESPRESSO input:
```
&SYSTEM
  ibrav = 0, nat = 5, ntyp = 4
/
ATOMIC_SPECIES
N 14.01 N.upf
Ir 192.22 Ir.upf
Se 78.96 Se.upf
F 19.00 F.upf
CELL_PARAMETERS angstrom
-4.198 -0.347 -1.272
1.295 -1.873 -3.765
-0.209 -3.405 1.622
ATOMIC_POSITIONS angstrom
N -0.105 -1.703 0.811
Ir -1.556 -2.813 -1.708
Se 0.000 0.000 0.000
F 0.648 -0.936 -1.883
F -2.099 -0.174 -0.636
```

Values from the calculation:
**Formation energy from raw total energies**: 1.0281 eV/atom
**M_tot**: 2.38 μB per formula unit
**ΔE to the lowest computed polymorph**: 853 meV per atom

9.
Density functional theory data (PBE) for Pm6DyEr8 after structural relaxation. Values from VASP.

Cell and atoms, written as Quantum ESPRESSO input:
```
&SYSTEM
  ibrav = 0, nat = 15, ntyp = 3
/
ATOMIC_SPECIES
Pm 145.00 Pm.upf
Dy 162.50 Dy.upf
Er 167.26 Er.upf
CELL_PARAMETERS angstrom
-4.595 -7.139 -1.743
-3.939 -3.885 6.672
-8.632 0.663 0.417
ATOMIC_POSITIONS angstrom
Pm -12.611 -7.671 1.841
Pm -6.100 -1.664 0.530
Pm -4.270 -4.654 0.613
Pm -12.896 -5.708 4.732
Pm -11.065 -8.697 4.816
Pm -4.554 -2.691 3.505
Dy 0.000 0.000 0.000
Er -9.792 -3.090 4.908
Er -7.094 -5.069 5.606
Er -9.960 -2.405 1.564
Er -9.898 -5.974 3.082
Er -7.268 -4.387 2.263
Er -7.205 -7.956 3.781
Er -10.072 -5.293 -0.260
Er -7.374 -7.271 0.437
```

Values from the calculation:
**M_tot**: 0.01 μB per formula unit
**Formation energy**: 0.12 eV per atom

10.
Density functional theory data (PBE) for CuSb3Pb after structural relaxation. Values from VASP.

Cell and atoms, written as Quantum ESPRESSO input:
```
&SYSTEM
  ibrav = 0, nat = 5, ntyp = 3
/
ATOMIC_SPECIES
Pb 207.20 Pb.upf
Sb 121.76 Sb.upf
Cu 63.55 Cu.upf
CELL_PARAMETERS angstrom
5.787 0.000 0.000
0.000 5.787 0.000
0.000 0.000 5.787
ATOMIC_POSITIONS angstrom
Pb 0.000 0.000 0.000
Sb 0.000 2.893 0.000
Sb 0.000 0.000 2.893
Sb 2.893 0.000 0.000
Cu 2.893 2.893 2.893
```

Values from the calculation:
**Formation energy from raw total energies**: 1.3047 eV/atom
**M_tot**: 0.00 μB per formula unit
**ΔE to the lowest computed polymorph**: 967 meV per atom

11.
Density functional theory data (PBE) for BaTaAu2 after structural relaxation. Values from VASP.

Cell and atoms, written as Quantum ESPRESSO input:
```
&SYSTEM
  ibrav = 0, nat = 4, ntyp = 3
/
ATOMIC_SPECIES
Au 196.97 Au.upf
Ba 137.33 Ba.upf
Ta 180.95 Ta.upf
CELL_PARAMETERS angstrom
-1.237 -2.659 4.109
2.802 -3.967 1.378
2.881 0.260 4.137
ATOMIC_POSITIONS angstrom
Au 0.000 0.000 0.000
Au 1.111 -1.591 2.406
Ba 2.223 -3.183 4.812
Ta 3.334 -4.774 7.218
```

Values from the calculation:
**M_tot**: 1.16 μB per formula unit
**ΔE to the lowest computed polymorph**: 780 meV per atom
**Formation energy**: 0.67 eV per atom

12.
Density functional theory data (PBE) for LaSm2Ho5Th after structural relaxation. Values from VASP.

Cell and atoms, written as Quantum ESPRESSO input:
```
&SYSTEM
  ibrav = 0, nat = 18, ntyp = 4
/
ATOMIC_SPECIES
La 138.91 La.upf
Sm 150.36 Sm.upf
Ho 164.93 Ho.upf
Th 232.04 Th.upf
CELL_PARAMETERS angstrom
-2.039 -4.395 -2.877
7.028 4.400 -6.184
7.516 -6.194 4.135
ATOMIC_POSITIONS angstrom
La 7.133 -7.713 1.209
La 8.382 -0.957 -4.479
Sm 9.782 -5.564 -3.951
Sm 6.867 -4.024 1.281
Sm 3.755 -1.475 -0.408
Sm 5.351 -1.929 -6.364
Ho 4.823 1.557 -5.797
Ho 7.781 -6.271 -1.454
Ho 11.296 -2.446 -4.270
Ho 8.892 -3.089 -1.584
Ho 8.750 -3.331 -6.631
Ho 4.278 -4.941 -1.002
Ho 5.710 -0.732 -2.929
Ho 0.998 -3.570 -0.772
Ho 3.002 -2.597 -3.678
Ho 0.400 -0.093 -0.141
Th 6.399 -4.068 -3.840
Th 2.541 0.816 -3.047
```

Values from the calculation:
**M_tot**: 0.00 μB per formula unit
**Formation energy**: 0.17 eV per atom